Here is a relaxed structure of LiPuCo from OQMD via LeMat-Bulk. Energies are from PBE-GGA.

Output
Total magnetization   1.79 μB/atom
Density   9.3 g cm⁻³

Lattice parameters (Å, degrees): 6.0565 6.0565 6.0565 90.00 90.00 90.00
Element x y z (fractional)
Li (0.0000, 0.0000, 0.0000)
Li (0.0000, 0.5000, 0.5000)
Li (0.5000, 0.0000, 0.5000)
Li (0.5000, 0.5000, 0.0000)
Pu (0.0000, 0.0000, 0.5000)
Pu (0.0000, 0.5000, 0.0000)
Pu (0.5000, 0.0000, 0.0000)
Pu (0.5000, 0.5000, 0.5000)
Co (0.2500, 0.2500, 0.2500)
Co (0.2500, 0.7500, 0.7500)
Co (0.7500, 0.2500, 0.7500)
Co (0.7500, 0.7500, 0.2500)



Here is a relaxed structure of RbLiCo from OQMD via LeMat-Bulk. Energies are from PBE-GGA.

Output
Total magnetization   0.44 μB/atom
Density   2.5 g cm⁻³

Lattice parameters (Å, degrees): 7.3807 7.3807 7.3807 90.00 90.00 90.00
Element x y z (fractional)
Rb (0.0000, 0.0000, 0.0000)
Rb (0.0000, 0.5000, 0.5000)
Rb (0.5000, 0.0000, 0.5000)
Rb (0.5000, 0.5000, 0.0000)
Li (0.2500, 0.2500, 0.2500)
Li (0.2500, 0.7500, 0.7500)
Li (0.7500, 0.2500, 0.7500)
Li (0.7500, 0.7500, 0.2500)
Co (0.2500, 0.2500, 0.7500)
Co (0.2500, 0.7500, 0.2500)
Co (0.7500, 0.2500, 0.2500)
Co (0.7500, 0.7500, 0.7500)



Here is a relaxed structure of RbLiCo from OQMD via LeMat-Bulk. Energies are from PBE-GGA.

Output
Total magnetization   0.56 μB/atom
Density   2.7 g cm⁻³

Lattice parameters (Å, degrees): 7.1671 7.1671 7.1671 90.00 90.00 90.00
Element x y z (fractional)
Rb (0.0000, 0.0000, 0.0000)
Rb (0.0000, 0.5000, 0.5000)
Rb (0.5000, 0.0000, 0.5000)
Rb (0.5000, 0.5000, 0.0000)
Li (0.2500, 0.2500, 0.7500)
Li (0.2500, 0.7500, 0.2500)
Li (0.7500, 0.2500, 0.2500)
Li (0.7500, 0.7500, 0.7500)
Co (0.0000, 0.0000, 0.5000)
Co (0.0000, 0.5000, 0.0000)
Co (0.5000, 0.0000, 0.0000)
Co (0.5000, 0.5000, 0.5000)



Here is a relaxed structure of RbLiCoRe from OQMD via LeMat-Bulk. Energies are from PBE-GGA.

Output
Total magnetization   1.06 μB/atom
Density   7.2 g cm⁻³

Lattice parameters (Å, degrees): 6.7798 6.7798 6.7798 90.00 90.00 90.00
Element x y z (fractional)
Rb (0.0000, 0.0000, 0.0000)
Rb (0.0000, 0.5000, 0.5000)
Rb (0.5000, 0.0000, 0.5000)
Rb (0.5000, 0.5000, 0.0000)
Li (0.0000, 0.0000, 0.5000)
Li (0.0000, 0.5000, 0.0000)
Li (0.5000, 0.0000, 0.0000)
Li (0.5000, 0.5000, 0.5000)
Co (0.2500, 0.2500, 0.7500)
Co (0.2500, 0.7500, 0.2500)
Co (0.7500, 0.2500, 0.2500)
Co (0.7500, 0.7500, 0.7500)
Re (0.2500, 0.2500, 0.2500)
Re (0.2500, 0.7500, 0.7500)
Re (0.7500, 0.2500, 0.7500)
Re (0.7500, 0.7500, 0.2500)



Here is a relaxed structure of RbLiCoRe from OQMD via LeMat-Bulk. Energies are from PBE-GGA.

Output
Total magnetization   1.01 μB/atom
Density   7.6 g cm⁻³

Lattice parameters (Å, degrees): 6.6577 6.6577 6.6577 90.00 90.00 90.00
Element x y z (fractional)
Rb (0.0000, 0.0000, 0.0000)
Rb (0.0000, 0.5000, 0.5000)
Rb (0.5000, 0.0000, 0.5000)
Rb (0.5000, 0.5000, 0.0000)
Li (0.2500, 0.2500, 0.7500)
Li (0.2500, 0.7500, 0.2500)
Li (0.7500, 0.2500, 0.2500)
Li (0.7500, 0.7500, 0.7500)
Co (0.2500, 0.2500, 0.2500)
Co (0.2500, 0.7500, 0.7500)
Co (0.7500, 0.2500, 0.7500)
Co (0.7500, 0.7500, 0.2500)
Re (0.0000, 0.0000, 0.5000)
Re (0.0000, 0.5000, 0.0000)
Re (0.5000, 0.0000, 0.0000)
Re (0.5000, 0.5000, 0.5000)



Here is a relaxed structure of RbLiCoRe from OQMD via LeMat-Bulk. Energies are from PBE-GGA.

Output
Total magnetization   0.00 μB/atom
Density   8.3 g cm⁻³

Lattice parameters (Å, degrees): 6.4517 6.4517 6.4517 90.00 90.00 90.00
Element x y z (fractional)
Rb (0.0000, 0.0000, 0.0000)
Rb (0.0000, 0.5000, 0.5000)
Rb (0.5000, 0.0000, 0.5000)
Rb (0.5000, 0.5000, 0.0000)
Li (0.2500, 0.2500, 0.7500)
Li (0.2500, 0.7500, 0.2500)
Li (0.7500, 0.2500, 0.2500)
Li (0.7500, 0.7500, 0.7500)
Co (0.0000, 0.0000, 0.5000)
Co (0.0000, 0.5000, 0.0000)
Co (0.5000, 0.0000, 0.0000)
Co (0.5000, 0.5000, 0.5000)
Re (0.2500, 0.2500, 0.2500)
Re (0.2500, 0.7500, 0.7500)
Re (0.7500, 0.2500, 0.7500)
Re (0.7500, 0.7500, 0.2500)



Here is a relaxed structure of RbLiCoTc from OQMD via LeMat-Bulk. Energies are from PBE-GGA.

Output
Total magnetization   1.01 μB/atom
Density   5.3 g cm⁻³

Lattice parameters (Å, degrees): 6.7808 6.7808 6.7808 90.00 90.00 90.00
Element x y z (fractional)
Rb (0.0000, 0.0000, 0.0000)
Rb (0.0000, 0.5000, 0.5000)
Rb (0.5000, 0.0000, 0.5000)
Rb (0.5000, 0.5000, 0.0000)
Li (0.0000, 0.0000, 0.5000)
Li (0.0000, 0.5000, 0.0000)
Li (0.5000, 0.0000, 0.0000)
Li (0.5000, 0.5000, 0.5000)
Co (0.2500, 0.2500, 0.7500)
Co (0.2500, 0.7500, 0.2500)
Co (0.7500, 0.2500, 0.2500)
Co (0.7500, 0.7500, 0.7500)
Tc (0.2500, 0.2500, 0.2500)
Tc (0.2500, 0.7500, 0.7500)
Tc (0.7500, 0.2500, 0.7500)
Tc (0.7500, 0.7500, 0.2500)



Here is a relaxed structure of RbLiCoTc from OQMD via LeMat-Bulk. Energies are from PBE-GGA.

Output
Total magnetization   0.94 μB/atom
Density   5.8 g cm⁻³

Lattice parameters (Å, degrees): 6.5812 6.5812 6.5812 90.00 90.00 90.00
Element x y z (fractional)
Rb (0.0000, 0.0000, 0.0000)
Rb (0.0000, 0.5000, 0.5000)
Rb (0.5000, 0.0000, 0.5000)
Rb (0.5000, 0.5000, 0.0000)
Li (0.2500, 0.2500, 0.7500)
Li (0.2500, 0.7500, 0.2500)
Li (0.7500, 0.2500, 0.2500)
Li (0.7500, 0.7500, 0.7500)
Co (0.0000, 0.0000, 0.5000)
Co (0.0000, 0.5000, 0.0000)
Co (0.5000, 0.0000, 0.0000)
Co (0.5000, 0.5000, 0.5000)
Tc (0.2500, 0.2500, 0.2500)
Tc (0.2500, 0.7500, 0.7500)
Tc (0.7500, 0.2500, 0.7500)
Tc (0.7500, 0.7500, 0.2500)



| no. | energy above the most stable polymorph in this dataset (meV per atom) | final energy (eV per atom) |
| --- | --- | --- |
| 1 | 0 | -7.3952 |
| 2 | 323 | -1.8857 |
| 3 | 0 | -2.2092 |
| 4 | 459 | -3.5509 |
| 5 | 0 | -4.0096 |
| 6 | 11 | -3.9986 |
| 7 | 365 | -3.3665 |
| 8 | 37 | -3.6944 |